Entry 1:
Here is a relaxed Ho4Th3S8 crystal from the Alexandria database. Energies are from PBE-GGA.

Results
* ΔE_f (raw): -1.945 eV/atom
* Fermi-level density of states: 17.08 states/eV per cell

Cell lengths 11.1792, 11.1837, 7.8953 Å; angles 90.00, 134.86, 90.00 degrees
Space group C2/m (No. 12)
Symmetry-distinct sites (fractional):
Ho: 0.0000 0.0000 0.0000 [2 per cell]
Ho: 0.0000 0.0000 0.5000 [2 per cell]
Ho: 0.2500 0.2500 0.0000 [4 per cell]
Th: 0.0000 0.5000 0.0000 [2 per cell]
Th: 0.2500 0.2500 0.5000 [4 per cell]
S: 0.0000 0.2446 0.0000 [4 per cell]
S: 0.0000 0.2488 0.5000 [4 per cell]
S: 0.2445 0.0000 0.4898 [4 per cell]
S: 0.2440 0.0000 0.9962 [4 per cell]

***

Entry 2:
Here is a relaxed Ho3ThS6 crystal from the Alexandria database. Energies are from PBE-GGA.

Results
* ΔE_f (raw): -2.057 eV/atom
* Fermi-level density of states: 2.84 states/eV per cell

Cell lengths 11.0220, 3.9310, 11.3128 Å; angles 90.00, 108.22, 90.00 degrees
Space group P2_1/m (No. 11)
Symmetry-distinct sites (fractional):
Ho: 0.0659 0.2500 0.1662 [2 per cell]
Ho: 0.1787 0.7500 0.5009 [2 per cell]
Ho: 0.3387 0.2500 0.9177 [2 per cell]
Th: 0.4517 0.2500 0.3040 [2 per cell]
S: 0.0203 0.2500 0.3856 [2 per cell]
S: 0.1045 0.2500 0.9387 [2 per cell]
S: 0.2404 0.7500 0.2731 [2 per cell]
S: 0.3083 0.7500 0.7487 [2 per cell]
S: 0.3827 0.2500 0.5343 [2 per cell]
S: 0.4178 0.7500 0.0951 [2 per cell]

***

Entry 3:
Here is a relaxed Ho5Th3S8 crystal from the Alexandria database. Energies are from PBE-GGA.

Results
* ΔE_f (raw): -1.912 eV/atom
* Fermi-level density of states: 19.36 states/eV per cell

Cell lengths 7.8134, 7.8134, 19.7205 Å; angles 90.00, 90.00, 120.00 degrees
Space group R-3m (No. 166, hexagonal axes)
Symmetry-distinct sites (fractional):
Ho: 0.0000 0.0000 0.0000 [3 per cell]
Ho: 0.0000 0.0000 0.5000 [3 per cell]
Ho: 0.0000 0.5000 0.0000 [9 per cell]
Th: 0.0000 0.5000 0.5000 [9 per cell]
S: 0.0000 0.0000 0.2557 [6 per cell]
S: 0.0068 0.5034 0.2538 [18 per cell]

***

no.,total magnetic moment (μB/f.u.)
1,0.0
2,0.0
3,0.0